LiNiTe2O8: relaxed, PBE+U.

Lattice parameters (Å, degrees): 5.5604 5.5604 5.9902 90.00 90.00 120.00
With the nearest neighbours (Å) after each atom.
Fractional coordinates of all 12 atoms:
1 Li 0.0000 0.0000 0.0000  6 O 2.86, 2 Ni 3.00
2 Ni 0.0000 0.0000 0.5000  6 O 2.06
3 Te 0.3333 0.6667 0.4351  4 O 1.87-2.02
4 Te 0.6667 0.3333 0.5649  4 O 1.87-2.02
5 O 0.0636 0.3647 0.6405  2 Te 2.02-2.17, 1 Ni 2.06
6 O 0.3011 0.9364 0.6405  2 Te 2.02-2.17, 1 Ni 2.06
7 O 0.3333 0.6667 0.1235  1 Te 1.87
8 O 0.3647 0.3011 0.3595  2 Te 2.02-2.17, 1 Ni 2.06
9 O 0.6353 0.6989 0.6405  2 Te 2.02-2.17, 1 Ni 2.06
10 O 0.6667 0.3333 0.8765  1 Te 1.87
11 O 0.6989 0.0636 0.3595  2 Te 2.02-2.17, 1 Ni 2.06
12 O 0.9364 0.6353 0.3595  2 Te 2.02-2.17, 1 Ni 2.06

Calculated values
Crystal system   trigonal
Calculated total energy   -58.400 eV/cell
Symmetry   No. 147